[1]
A plane-wave DFT calculation with GGA-PBE was carried out for a relaxed structure of PuBe2AlPt4.

a b c (Å): 8.947 8.947 8.947
angles (deg): 26.46 26.46 26.46
Fractional coordinates of all 8 atoms:
Pu  0.000  0.000  0.000
Be  0.241  0.241  0.241
Be  0.759  0.759  0.759
Al  0.500  0.500  0.500
Pt  0.131  0.131  0.131
Pt  0.402  0.402  0.402
Pt  0.598  0.598  0.598
Pt  0.869  0.869  0.869

Calculated values
* symmetry: R-3m, No. 166
* total magnetization: 4.90 μB per formula unit
* calculated total energy: -6.94 eV per atom



[2]
A plane-wave DFT calculation with GGA-PBE was carried out for a relaxed structure of Pu2BeAlPt6.

a b c (Å): 6.414 6.414 6.414
angles (deg): 60.00 60.00 60.00
Fractional coordinates of all 10 atoms:
Pu  0.250  0.250  0.250
Pu  0.750  0.750  0.750
Be  0.000  0.000  0.000
Al  0.500  0.500  0.500
Pt  0.237  0.237  0.763
Pt  0.237  0.763  0.237
Pt  0.237  0.763  0.763
Pt  0.763  0.237  0.237
Pt  0.763  0.237  0.763
Pt  0.763  0.763  0.237

Calculated values
* symmetry: Fm-3m, No. 225
* total magnetization: 10.31 μB per formula unit
* calculated total energy: -7.73 eV per atom



[3]
A plane-wave DFT calculation with GGA-PBE was carried out for a relaxed structure of BeAl2PtRh.

a b c (Å): 4.591 4.591 5.081
angles (deg): 90.00 90.00 90.00
Fractional coordinates of all 5 atoms:
Be  0.000  0.000  0.000
Al  0.000  0.500  0.500
Al  0.500  0.000  0.500
Pt  0.500  0.500  0.500
Rh  0.500  0.500  0.000

Calculated values
* symmetry: P4/mmm, No. 123
* total magnetization: 1.10 μB per formula unit
* calculated total energy: -4.19 eV per atom



[4]
A plane-wave DFT calculation with GGA-PBE was carried out for a relaxed structure of BeAlSb2Pt.

a b c (Å): 4.985 4.985 4.244
angles (deg): 90.00 90.00 90.00
Fractional coordinates of all 5 atoms:
Be  0.000  0.000  0.000
Al  0.500  0.500  0.500
Sb  0.000  0.500  0.000
Sb  0.500  0.000  0.000
Pt  0.000  0.000  0.500

Calculated values
* formation energy (no corrections): 0.38 eV per atom
* symmetry: P4/mmm, No. 123
* total magnetization: 0.00 μB per formula unit



[5]
A plane-wave DFT calculation with GGA-PBE was carried out for a relaxed structure of ScBeAl2Pt4.

a b c (Å): 7.921 7.921 7.921
angles (deg): 31.51 31.51 31.51
Fractional coordinates of all 8 atoms:
Sc  0.000  0.000  0.000
Be  0.500  0.500  0.500
Al  0.249  0.249  0.249
Al  0.751  0.751  0.751
Pt  0.132  0.132  0.132
Pt  0.398  0.398  0.398
Pt  0.602  0.602  0.602
Pt  0.868  0.868  0.868

Calculated values
* symmetry: R-3m, No. 166
* total magnetization: 0.00 μB per formula unit
* calculated total energy: -6.21 eV per atom



[6]
A plane-wave DFT calculation with GGA-PBE was carried out for a relaxed structure of Sc2Be2AlPt5.

a b c (Å): 9.265 9.265 3.437
angles (deg): 90.00 90.00 90.00
Fractional coordinates of all 20 atoms:
Sc  0.175  0.325  0.000
Sc  0.325  0.825  0.000
Sc  0.675  0.175  0.000
Sc  0.825  0.675  0.000
Be  0.122  0.622  0.000
Be  0.378  0.122  0.000
Be  0.622  0.878  0.000
Be  0.878  0.378  0.000
Al  0.000  0.000  0.000
Al  0.500  0.500  0.000
Pt  0.000  0.500  0.500
Pt  0.070  0.791  0.500
Pt  0.209  0.070  0.500
Pt  0.291  0.570  0.500
Pt  0.430  0.291  0.500
Pt  0.500  0.000  0.500
Pt  0.570  0.709  0.500
Pt  0.709  0.430  0.500
Pt  0.791  0.930  0.500
Pt  0.930  0.209  0.500

Calculated values
* symmetry: P4/mbm, No. 127
* total magnetization: 0.00 μB per formula unit
* calculated total energy: -6.48 eV per atom



[7]
A plane-wave DFT calculation with GGA-PBE was carried out for a relaxed structure of BeAl2SiPt.

a b c (Å): 4.715 4.715 4.556
angles (deg): 90.00 90.00 90.00
Fractional coordinates of all 5 atoms:
Be  0.000  0.000  0.000
Al  0.000  0.500  0.500
Al  0.500  0.000  0.500
Si  0.500  0.500  0.500
Pt  0.500  0.500  0.000

Calculated values
* formation energy (no corrections): 0.78 eV per atom
* symmetry: P4/mmm, No. 123
* total magnetization: 0.00 μB per formula unit



[8]
A plane-wave DFT calculation with GGA-PBE was carried out for a relaxed structure of Sm2BeAl4Pt3.

a b c (Å): 4.202 4.202 10.537
angles (deg): 90.00 90.00 90.00
Fractional coordinates of all 10 atoms:
Sm  0.000  0.500  0.244
Sm  0.500  0.000  0.756
Be  0.500  0.500  0.000
Al  0.000  0.000  0.500
Al  0.000  0.500  0.874
Al  0.500  0.000  0.126
Al  0.500  0.500  0.500
Pt  0.000  0.000  0.000
Pt  0.000  0.500  0.636
Pt  0.500  0.000  0.364

Calculated values
* symmetry: P-4m2, No. 115
* total magnetization: 0.00 μB per formula unit
* calculated total energy: -5.55 eV per atom



[9]
A plane-wave DFT calculation with GGA-PBE was carried out for a relaxed structure of Sm2BeAl3Pt4.

a b c (Å): 4.179 4.179 10.452
angles (deg): 90.00 90.00 90.00
Fractional coordinates of all 10 atoms:
Sm  0.000  0.500  0.242
Sm  0.500  0.000  0.758
Be  0.500  0.500  0.000
Al  0.000  0.000  0.000
Al  0.000  0.500  0.635
Al  0.500  0.000  0.365
Pt  0.000  0.000  0.500
Pt  0.000  0.500  0.874
Pt  0.500  0.000  0.126
Pt  0.500  0.500  0.500

Calculated values
* symmetry: P-4m2, No. 115
* total magnetization: 0.00 μB per formula unit
* calculated total energy: -5.88 eV per atom



[10]
A plane-wave DFT calculation with GGA-PBE was carried out for a relaxed structure of Sm3Be2AlPt9.

a b c (Å): 5.812 5.812 9.359
angles (deg): 90.00 90.00 120.00
Fractional coordinates of all 15 atoms:
Sm  0.000  0.000  0.000
Sm  0.333  0.667  0.615
Sm  0.667  0.333  0.385
Be  0.333  0.667  0.153
Be  0.667  0.333  0.847
Al  0.000  0.000  0.500
Pt  0.000  0.500  0.000
Pt  0.164  0.328  0.301
Pt  0.164  0.836  0.301
Pt  0.328  0.164  0.699
Pt  0.500  0.000  0.000
Pt  0.500  0.500  0.000
Pt  0.672  0.836  0.301
Pt  0.836  0.164  0.699
Pt  0.836  0.672  0.699

Calculated values
* symmetry: P-3m1, No. 164
* total magnetization: 0.00 μB per formula unit
* calculated total energy: -6.19 eV per atom



[11]
A plane-wave DFT calculation with GGA-PBE was carried out for a relaxed structure of SmBeAlPt2.

a b c (Å): 6.437 6.437 6.437
angles (deg): 144.56 144.56 50.99
Fractional coordinates of all 5 atoms:
Sm  0.000  0.000  0.000
Be  0.250  0.750  0.500
Al  0.750  0.250  0.500
Pt  0.379  0.379  0.000
Pt  0.621  0.621  0.000

Calculated values
* symmetry: I-4m2, No. 119
* total magnetization: 0.00 μB per formula unit
* calculated total energy: -5.80 eV per atom



[12]
A plane-wave DFT calculation with GGA-PBE was carried out for a relaxed structure of SmBe2AlPt4.

a b c (Å): 9.075 9.075 9.075
angles (deg): 26.11 26.11 26.11
Fractional coordinates of all 8 atoms:
Sm  0.000  0.000  0.000
Be  0.241  0.241  0.241
Be  0.759  0.759  0.759
Al  0.500  0.500  0.500
Pt  0.132  0.132  0.132
Pt  0.405  0.405  0.405
Pt  0.595  0.595  0.595
Pt  0.868  0.868  0.868

Calculated values
* symmetry: R-3m, No. 166
* total magnetization: 0.00 μB per formula unit
* calculated total energy: -5.85 eV per atom